# TiAsIO2

A geometry-optimized TiAsIO2 structure (PBE, Alexandria).

Output
energy relative to the elements, uncorrected	-73.2	meV per atom
E_tot	-24.38	eV per cell
relative energy among the computed polymorphs	885	meV per atom

Structure (POSCAR):
```
TiAsIO2
1.0
3.939 0.000 0.000
0.000 3.939 0.000
0.000 0.000 5.980
I As O Ti
1 1 2 1
direct
0.000 0.000 0.500
0.000 0.000 0.000
0.000 0.500 0.000
0.500 0.000 0.000
0.500 0.500 0.500
```